1.
VASP calculation (PBE-GGA) on a relaxed structure of Co3CuB.

Geometry as POSCAR:
```
Co3CuB
1.0
3.7809 0.0000 0.0000
0.0000 3.7809 0.0000
0.0000 0.0000 3.7809
Co Cu B
3 1 1
Direct
0.0000 0.0000 0.5000
0.0000 0.5000 0.0000
0.5000 0.0000 0.0000
0.5000 0.5000 0.5000
0.0000 0.0000 0.0000
```

Computed properties:
density of states at the Fermi level: 0.859 states/eV/atom
formation energy: 0.88 eV/f.u.
polymorph energy (0 for the lowest one): 0 meV per atom

2.
VASP calculation (PBE-GGA) on a relaxed structure of CoCu3B.

Geometry as POSCAR:
```
CoCu3B
1.0
4.3723 0.0000 0.0000
0.0000 4.3723 0.0000
0.0000 0.0000 4.3723
Co Cu B
1 3 1
Direct
0.0000 0.0000 0.0000
0.0000 0.0000 0.5000
0.0000 0.5000 0.0000
0.5000 0.0000 0.0000
0.5000 0.5000 0.5000
```

Computed properties:
density of states at the Fermi level: 1.202 states/eV/atom
formation energy: 8.94 eV/f.u.
polymorph energy (0 for the lowest one): 1330 meV per atom